[1]
meta-GGA SCAN NbPt3F, PBEsol geometry; Fermi-level density of states = 0.77 states/eV/atom; calculated total energy = -1.7951 hartree per atom
1.0
4.2797 0.0000 0.0000
0.0000 4.2797 0.0000
0.0000 0.0000 4.2797
Nb Pt F
1 3 1
direct
0.5000 0.5000 0.5000 Nb
0.0000 0.5000 0.0000 Pt
0.0000 0.0000 0.5000 Pt
0.5000 0.0000 0.0000 Pt
0.0000 0.0000 0.0000 F

---

[2]
meta-GGA SCAN RbNbF2, PBEsol geometry; Fermi-level density of states = 0.15 states/eV/atom; calculated total energy = -0.6137 hartree per atom
1.0
6.3437 -0.5450 0.8533
-3.0856 5.5695 -0.8533
3.0856 1.5678 5.4120
Nb Rb F
2 2 4
direct
0.5000 0.2500 0.2500 Nb
0.0000 0.0000 0.0000 Nb
0.5000 0.7500 0.7500 Rb
0.0000 0.5000 0.5000 Rb
0.9420 0.3170 0.1250 F
0.0580 0.9330 0.6250 F
0.4420 0.1250 0.9330 F
0.5580 0.6250 0.3170 F